(1)
VASP calculation (GGA-PBE) on crystalline Ac3Ge4Ru2 at its relaxed geometry.

E_form   -623 meV per atom
Offset from the most stable computed form   0 meV per atom
Calculated total energy   -6.106 eV/atom
Density of states at the Fermi level   6.26 states/eV/cell
Total moment   0.00 Bohr magnetons per cell

a b c (Å): 6.315 6.315 8.684
angles (deg): 106.55 106.55 41.63
Fractional positions:
Ac 0.000 0.000 0.000
Ac 0.386 0.386 0.305
Ac 0.614 0.614 0.695
Ge 0.115 0.115 0.399
Ge 0.288 0.288 0.916
Ge 0.712 0.712 0.084
Ge 0.885 0.885 0.601
Ru 0.303 0.303 0.635
Ru 0.697 0.697 0.365

***

(2)
VASP calculation (GGA-PBE) on crystalline Ac3Ge3Ru at its relaxed geometry.

E_form   -362 meV per atom
Offset from the most stable computed form   268 meV per atom
Calculated total energy   -5.426 eV/atom
Density of states at the Fermi level   17.48 states/eV/cell
Total moment   0.00 Bohr magnetons per cell

a b c (Å): 9.173 9.173 6.330
angles (deg): 90.00 90.00 120.00
Fractional positions:
Ac 0.090 0.705 0.250
Ac 0.295 0.386 0.250
Ac 0.386 0.090 0.750
Ac 0.614 0.910 0.250
Ac 0.705 0.614 0.750
Ac 0.910 0.295 0.750
Ge 0.095 0.705 0.750
Ge 0.295 0.390 0.750
Ge 0.390 0.095 0.250
Ge 0.610 0.905 0.750
Ge 0.705 0.610 0.250
Ge 0.905 0.295 0.250
Ru 0.333 0.667 0.750
Ru 0.667 0.333 0.250

***

(3)
VASP calculation (GGA-PBE) on crystalline Ac2Ge3Ru at its relaxed geometry.

E_form   -606 meV per atom
Offset from the most stable computed form   28 meV per atom
Calculated total energy   -5.830 eV/atom
Density of states at the Fermi level   3.49 states/eV/cell
Total moment   0.00 Bohr magnetons per cell

a b c (Å): 4.403 4.539 7.584
angles (deg): 90.00 90.00 90.00
Fractional positions:
Ac 0.000 0.000 0.000
Ac 0.500 0.000 0.482
Ge 0.000 0.500 0.319
Ge 0.000 0.500 0.662
Ge 0.500 0.500 0.847
Ru 0.500 0.500 0.177

***

(4)
VASP calculation (GGA-PBE) on crystalline AcGeRu at its relaxed geometry.

E_form   -473 meV per atom
Offset from the most stable computed form   140 meV per atom
Calculated total energy   -6.474 eV/atom
Density of states at the Fermi level   3.04 states/eV/cell
Total moment   0.00 Bohr magnetons per cell

a b c (Å): 4.303 4.303 4.552
angles (deg): 90.00 90.00 120.00
Fractional positions:
Ac 0.000 0.000 0.000
Ge 0.333 0.667 0.499
Ru 0.667 0.333 0.496

***

(5)
VASP calculation (GGA-PBE) on crystalline AcGeRu at its relaxed geometry.

E_form   -613 meV per atom
Offset from the most stable computed form   0 meV per atom
Calculated total energy   -6.614 eV/atom
Density of states at the Fermi level   5.42 states/eV/cell
Total moment   0.00 Bohr magnetons per cell

a b c (Å): 4.399 4.399 7.463
angles (deg): 90.00 90.00 90.00
Fractional positions:
Ac 0.250 0.250 0.191
Ac 0.750 0.750 0.809
Ge 0.250 0.250 0.670
Ge 0.750 0.750 0.330
Ru 0.250 0.750 0.500
Ru 0.750 0.250 0.500

***

(6)
VASP calculation (GGA-PBE) on crystalline Ac12Ge6Ru at its relaxed geometry.

E_form   -425 meV per atom
Calculated total energy   -4.966 eV/atom
Density of states at the Fermi level   19.91 states/eV/cell
Total moment   0.46 Bohr magnetons per cell

a b c (Å): 9.104 9.104 9.104
angles (deg): 99.29 99.29 99.29
Fractional positions:
Ac 0.037 0.932 0.684
Ac 0.068 0.316 0.963
Ac 0.185 0.566 0.427
Ac 0.316 0.963 0.068
Ac 0.427 0.185 0.566
Ac 0.434 0.573 0.815
Ac 0.566 0.427 0.185
Ac 0.573 0.815 0.434
Ac 0.684 0.037 0.932
Ac 0.815 0.434 0.573
Ac 0.932 0.684 0.037
Ac 0.963 0.068 0.316
Ge 0.128 0.300 0.625
Ge 0.300 0.625 0.128
Ge 0.375 0.872 0.700
Ge 0.625 0.128 0.300
Ge 0.700 0.375 0.872
Ge 0.872 0.700 0.375
Ru 0.000 0.000 0.000

***

(7)
VASP calculation (GGA-PBE) on crystalline Ac3Ge2Ru at its relaxed geometry.

E_form   -580 meV per atom
Calculated total energy   -5.720 eV/atom
Density of states at the Fermi level   21.11 states/eV/cell
Total moment   0.00 Bohr magnetons per cell

a b c (Å): 12.715 4.466 12.470
angles (deg): 90.00 90.00 90.00
Fractional positions:
Ac 0.060 0.250 0.125
Ac 0.116 0.750 0.552
Ac 0.217 0.250 0.797
Ac 0.283 0.750 0.297
Ac 0.384 0.250 0.052
Ac 0.440 0.750 0.625
Ac 0.560 0.250 0.375
Ac 0.616 0.750 0.948
Ac 0.717 0.250 0.703
Ac 0.783 0.750 0.203
Ac 0.884 0.250 0.448
Ac 0.940 0.750 0.875
Ge 0.026 0.750 0.314
Ge 0.200 0.750 0.988
Ge 0.300 0.250 0.488
Ge 0.474 0.250 0.814
Ge 0.526 0.750 0.186
Ge 0.700 0.750 0.512
Ge 0.800 0.250 0.012
Ge 0.974 0.250 0.686
Ru 0.130 0.250 0.361
Ru 0.370 0.750 0.861
Ru 0.630 0.250 0.139
Ru 0.870 0.750 0.639

***

(8)
VASP calculation (GGA-PBE) on crystalline Ac2Ge5Ru3 at its relaxed geometry.

E_form   -573 meV per atom
Calculated total energy   -6.486 eV/atom
Density of states at the Fermi level   9.14 states/eV/cell
Total moment   0.00 Bohr magnetons per cell

a b c (Å): 8.734 8.734 8.734
angles (deg): 108.16 85.97 139.33
Fractional positions:
Ac 0.135 0.230 0.365
Ac 0.365 0.730 0.095
Ac 0.635 0.270 0.905
Ac 0.865 0.770 0.635
Ge 0.037 0.750 0.287
Ge 0.094 0.663 0.757
Ge 0.250 0.250 0.000
Ge 0.406 0.163 0.570
Ge 0.463 0.750 0.713
Ge 0.537 0.250 0.287
Ge 0.594 0.837 0.430
Ge 0.750 0.750 0.000
Ge 0.906 0.337 0.243
Ge 0.963 0.250 0.713
Ru 0.145 0.904 0.049
Ru 0.250 0.750 0.500
Ru 0.355 0.404 0.760
Ru 0.645 0.596 0.240
Ru 0.750 0.250 0.500
Ru 0.855 0.096 0.951

***

(9)
VASP calculation (GGA-PBE) on crystalline Ac3Ge4Ru2 at its relaxed geometry.

E_form   -587 meV per atom
Offset from the most stable computed form   36 meV per atom
Calculated total energy   -6.070 eV/atom
Density of states at the Fermi level   6.03 states/eV/cell
Total moment   0.00 Bohr magnetons per cell

a b c (Å): 6.405 6.405 8.908
angles (deg): 99.67 99.67 38.54
Fractional positions:
Ac 0.000 0.000 0.000
Ac 0.333 0.333 0.346
Ac 0.667 0.667 0.654
Ge 0.053 0.053 0.377
Ge 0.270 0.270 0.923
Ge 0.730 0.730 0.077
Ge 0.947 0.947 0.623
Ru 0.395 0.395 0.729
Ru 0.605 0.605 0.271

***

(10)
VASP calculation (GGA-PBE) on crystalline AcGe2Ru3 at its relaxed geometry.

E_form   -425 meV per atom
Calculated total energy   -7.286 eV/atom
Density of states at the Fermi level   9.40 states/eV/cell
Total moment   0.00 Bohr magnetons per cell

a b c (Å): 8.363 8.363 7.635
angles (deg): 115.51 115.51 28.59
Fractional positions:
Ac 0.148 0.148 0.062
Ac 0.852 0.852 0.938
Ge 0.188 0.188 0.671
Ge 0.475 0.475 0.806
Ge 0.525 0.525 0.194
Ge 0.812 0.812 0.329
Ru 0.037 0.037 0.383
Ru 0.310 0.310 0.543
Ru 0.415 0.415 0.353
Ru 0.585 0.585 0.647
Ru 0.690 0.690 0.457
Ru 0.963 0.963 0.617

***

(11)
VASP calculation (GGA-PBE) on crystalline AcSmGeRu at its relaxed geometry.

E_form   -230 meV per atom
Calculated total energy   -5.910 eV/atom
Density of states at the Fermi level   2.53 states/eV/cell
Total moment   0.00 Bohr magnetons per cell

a b c (Å): 5.222 5.222 5.222
angles (deg): 60.00 60.00 60.00
Fractional positions:
Ac 0.000 0.000 0.000
Sm 0.500 0.500 0.500
Ge 0.750 0.750 0.750
Ru 0.250 0.250 0.250

***

(12)
VASP calculation (GGA-PBE) on crystalline AcTbGeRu at its relaxed geometry.

E_form   -248 meV per atom
Calculated total energy   -5.906 eV/atom
Density of states at the Fermi level   2.42 states/eV/cell
Total moment   0.00 Bohr magnetons per cell

a b c (Å): 5.183 5.183 5.183
angles (deg): 60.00 60.00 60.00
Fractional positions:
Ac 0.000 0.000 0.000
Tb 0.500 0.500 0.500
Ge 0.750 0.750 0.750
Ru 0.250 0.250 0.250